ZnBiSCl2: optimized geometry, PBE.

Cell lengths 5.4461, 5.4461, 5.3129 Å; angles 90.00, 90.00, 90.00 degrees
Last column: magnetic moment on the atom in μB.
Atoms (fractional coordinates):
1 S 0.0000 0.0000 0.5000  0.17
2 Zn 0.5000 0.5000 0.5000  0.23
3 Bi 0.0000 0.0000 0.0000  0.02
4 Cl 0.0000 0.5000 0.0000  0.01
5 Cl 0.5000 0.0000 0.0000  0.01

Output
* SG: P4/mmm, No. 123
* D(E_F): 2.93 states/eV/cell
* raw formation energy: -0.136 eV/atom
* M_tot: 0.8 Bohr magnetons per cell
* energy relative to the lowest polymorph listed for this composition: 17.7 kJ per mole of atoms
* electronic total energy: -13.65 eV/f.u.

---

ZnBiSCl2: optimized geometry, PBE.

Cell lengths 4.7215, 4.7215, 5.0218 Å; angles 90.00, 90.00, 90.00 degrees
Atoms (fractional coordinates):
1 S 0.0000 0.0000 0.5000
2 Zn 0.0000 0.0000 0.0000
3 Bi 0.5000 0.5000 0.5000
4 Cl 0.0000 0.5000 0.0000
5 Cl 0.5000 0.0000 0.0000

Output
* SG: P4/mmm, No. 123
* D(E_F): 2.21 states/eV/cell
* raw formation energy: -0.319 eV/atom
* M_tot: 0.0 Bohr magnetons per cell
* energy relative to the lowest polymorph listed for this composition: 0.0 kJ per mole of atoms
* electronic total energy: -14.57 eV/f.u.

---

ZrBiS2Cl: optimized geometry, PBE.

Cell lengths 5.3583, 5.3583, 5.1334 Å; angles 90.00, 90.00, 90.00 degrees
Last column: magnetic moment on the atom in μB.
Atoms (fractional coordinates):
1 S 0.0000 0.5000 0.0000  -0.05
2 S 0.5000 0.0000 0.0000  -0.05
3 Bi 0.0000 0.0000 0.0000  0.00
4 Zr 0.5000 0.5000 0.5000  1.50
5 Cl 0.0000 0.0000 0.5000  0.02

Output
* SG: P4/mmm, No. 123
* D(E_F): 2.71 states/eV/cell
* raw formation energy: 0.306 eV/atom
* M_tot: 2.0 Bohr magnetons per cell
* energy relative to the lowest polymorph listed for this composition: 91.6 kJ per mole of atoms
* electronic total energy: -21.00 eV/f.u.

---

ZrBiS2Cl: optimized geometry, PBE.

Cell lengths 5.0384, 5.0384, 4.9642 Å; angles 90.00, 90.00, 90.00 degrees
Atoms (fractional coordinates):
1 S 0.0000 0.5000 0.0000
2 S 0.5000 0.0000 0.0000
3 Bi 0.5000 0.5000 0.5000
4 Zr 0.0000 0.0000 0.0000
5 Cl 0.0000 0.0000 0.5000

Output
* SG: P4/mmm, No. 123
* D(E_F): 3.60 states/eV/cell
* raw formation energy: -0.644 eV/atom
* M_tot: 0.0 Bohr magnetons per cell
* energy relative to the lowest polymorph listed for this composition: 0.0 kJ per mole of atoms
* electronic total energy: -25.75 eV/f.u.

---

Bi3SbCl2: optimized geometry, PBE.

Cell lengths 8.2134, 6.2479, 9.3155 Å; angles 102.52, 116.16, 90.00 degrees
Atoms (fractional coordinates):
1 Bi 0.5762 0.2500 0.0000
2 Bi 0.4238 0.7500 0.0000
3 Bi 0.1930 0.9711 0.2566
4 Bi 0.9363 0.5289 0.7434
5 Bi 0.0637 0.4711 0.2566
6 Bi 0.8070 0.0289 0.7434
7 Sb 0.8175 0.7500 0.0000
8 Sb 0.1825 0.2500 0.0000
9 Cl 0.7663 0.3582 0.3397
10 Cl 0.5733 0.8582 0.3397
11 Cl 0.4267 0.1418 0.6603
12 Cl 0.2337 0.6418 0.6603

Output
* SG: C2/c, No. 15
* D(E_F): 3.27 states/eV/cell
* raw formation energy: -0.208 eV/atom
* M_tot: 0.0 Bohr magnetons per cell
* electronic total energy: -20.71 eV/f.u.

---

BiSb2Cl8: optimized geometry, PBE.

Cell lengths 7.8942, 7.9915, 7.9915 Å; angles 66.84, 71.12, 71.12 degrees
Last column: magnetic moment on the atom in μB.
Atoms (fractional coordinates):
1 Bi 0.0000 0.0000 0.0000  0.23
2 Sb 0.6086 0.8528 0.8528  0.09
3 Sb 0.3914 0.1472 0.1472  0.09
4 Cl 0.2042 0.2788 0.8918  0.01
5 Cl 0.7958 0.1082 0.7212  0.01
6 Cl 0.2898 0.8032 0.8032  0.01
7 Cl 0.7102 0.1968 0.1968  0.01
8 Cl 0.2042 0.8918 0.2788  0.01
9 Cl 0.7958 0.7212 0.1082  0.01
10 Cl 0.7997 0.6670 0.6670  0.01
11 Cl 0.2003 0.3330 0.3330  0.01

Output
* SG: C2/m, No. 12
* D(E_F): 2.22 states/eV/cell
* raw formation energy: -0.726 eV/atom
* M_tot: 0.9 Bohr magnetons per cell
* electronic total energy: -34.88 eV/f.u.